# SrAl3O, relaxed, DFT GGA-PBE
# Excess energy over the best structure of this formula in the dataset (eV/atom): 0.0000
# DOS(E_F) (states/eV/atom): 0.5506
data_SrAl3O
_chemical_formula_sum 'Sr1 Al3 O1'
_symmetry_space_group_name_H-M 'P m -3 m'
_symmetry_Int_Tables_number 221
_symmetry_space_group_name_Hall '-P 4 2 3'
_cell_length_a 4.618
_cell_length_b 4.618
_cell_length_c 4.618
_cell_angle_alpha 90.00
_cell_angle_beta 90.00
_cell_angle_gamma 90.00
loop_
_atom_site_label
_atom_site_fract_x
_atom_site_fract_y
_atom_site_fract_z
Sr1 0.000 0.000 0.000
Al1 0.000 0.500 0.500
O1 0.500 0.500 0.500



# SrAlO3, relaxed, DFT GGA-PBE
# DOS(E_F) (states/eV/atom): 0.6074
data_SrAlO3
_chemical_formula_sum 'Sr1 Al1 O3'
_symmetry_space_group_name_H-M 'P m -3 m'
_symmetry_Int_Tables_number 221
_symmetry_space_group_name_Hall '-P 4 2 3'
_cell_length_a 3.836
_cell_length_b 3.836
_cell_length_c 3.836
_cell_angle_alpha 90.00
_cell_angle_beta 90.00
_cell_angle_gamma 90.00
loop_
_atom_site_label
_atom_site_fract_x
_atom_site_fract_y
_atom_site_fract_z
Sr1 0.000 0.000 0.000
Al1 0.500 0.500 0.500
O1 0.000 0.500 0.500



# SrAl2O4, relaxed, DFT GGA-PBE
# DOS(E_F) (states/eV/atom): 0.0000
data_SrAl2O4
_chemical_formula_sum 'Sr4 Al8 O16'
_symmetry_space_group_name_H-M 'C 1 2 1'
_symmetry_Int_Tables_number 5
_cell_length_a 9.076
_cell_length_b 5.130
_cell_length_c 8.590
_cell_angle_alpha 90.00
_cell_angle_beta 93.94
_cell_angle_gamma 90.00
loop_
_symmetry_equiv_pos_as_xyz
'x,y,z'
'-x,y,-z'
'x+1/2,y+1/2,z'
'-x+1/2,y+1/2,-z'
loop_
_atom_site_label
_atom_site_fract_x
_atom_site_fract_y
_atom_site_fract_z
Sr1 0.011 0.000 0.242
Al1 0.166 0.487 0.553
Al2 0.167 0.536 0.944
O1 0.000 0.313 0.500
O2 0.000 0.672 0.000
O3 0.167 0.617 0.744
O4 0.174 0.193 0.968
O5 0.186 0.760 0.432



| no. | E (eV per atom) | raw formation energy (eV per atom) |
| --- | --- | --- |
| 1 | -3.857 | -0.283 |
| 2 | -6.675 | -2.615 |
| 3 | -7.191 | -3.048 |